The following is a GGA-PBE calculation of a relaxed structure of MnFeHIrPd, from the Alexandria database.

Unit cell a=6.430 b=2.767 c=8.695 alpha=90.00 beta=128.84 gamma=90.00
Fractional coordinates of all 10 atoms:
Mn 0.803 0.000 0.910
Mn 0.803 0.500 0.410
Fe 0.556 0.000 0.522
Fe 0.556 0.500 0.022
H 0.217 0.000 0.818
H 0.217 0.500 0.318
Ir 0.001 0.000 0.274
Ir 0.001 0.500 0.774
Pd 0.338 0.000 0.152
Pd 0.338 0.500 0.652

Summary:
The energy comes out at -6.90 eV/atom. For the magnetic moment, the calculation gives 13.6 μB/cell. The value obtained for the theoretical density is 11.31 g/cm³. The density of states at the Fermi level is 10.770 states/eV per cell.